Record 1
TaTlGa2Ir PBE relaxed; total DFT energy (no corrections) = -4.339 eV per atom; Fermi-level density of states = 5.6 states/eV/f.u.; DFT formation energy = 1.488 eV/atom; spin magnetization = 0.885 μB/f.u.; SG = P4/mmm
1.0
4.944 0.000 0.000
0.000 4.944 0.000
0.000 0.000 5.318
Ta Tl Ga Ir
1 1 2 1
Direct
0.000 0.000 0.000 Ta
0.000 0.000 0.500 Tl
0.000 0.500 0.000 Ga
0.500 0.000 0.000 Ga
0.500 0.500 0.500 Ir

Record 2
TaVGa2Ir PBE relaxed; total DFT energy (no corrections) = -6.299 eV per atom; Fermi-level density of states = 6.5 states/eV/f.u.; DFT formation energy = 0.879 eV/atom; spin magnetization = 0.000 μB/f.u.; SG = P4/mmm
1.0
4.600 0.000 0.000
0.000 4.600 0.000
0.000 0.000 4.716
Ta V Ga Ir
1 1 2 1
Direct
0.000 0.000 0.000 Ta
0.500 0.500 0.000 V
0.000 0.500 0.500 Ga
0.500 0.000 0.500 Ga
0.500 0.500 0.500 Ir

Record 3
Tb3GaIr2 PBE relaxed; total DFT energy (no corrections) = -6.520 eV per atom; Fermi-level density of states = 3.4 states/eV/f.u.; DFT formation energy = -0.747 eV/atom; spin magnetization = 0.000 μB/f.u.; SG = Pnma
1.0
11.785 0.000 0.000
0.000 3.965 0.000
0.000 0.000 11.855
Tb Ga Ir
12 4 8
Direct
0.052 0.250 0.122 Tb
0.133 0.750 0.572 Tb
0.199 0.250 0.822 Tb
0.301 0.750 0.322 Tb
0.367 0.250 0.072 Tb
0.448 0.750 0.622 Tb
0.552 0.250 0.378 Tb
0.633 0.750 0.928 Tb
0.699 0.250 0.678 Tb
0.801 0.750 0.178 Tb
0.867 0.250 0.428 Tb
0.948 0.750 0.878 Tb
0.121 0.250 0.372 Ga
0.379 0.750 0.872 Ga
0.621 0.250 0.128 Ga
0.879 0.750 0.628 Ga
0.007 0.750 0.309 Ir
0.189 0.750 0.991 Ir
0.311 0.250 0.491 Ir
0.493 0.250 0.809 Ir
0.507 0.750 0.191 Ir
0.689 0.750 0.509 Ir
0.811 0.250 0.009 Ir
0.993 0.250 0.691 Ir

> Which value of DFT formation energy does entry 1 give?

1.488 eV/atom